The following is a DFT calculation (PBEsol) of crystalline Hg2GeMoH at its relaxed geometry. Values from VASP.

Computed properties:
- Mass density: 12.0 Mg/m³
- Final energy: -3.51 eV per atom
- Crystal system: tetragonal
- Calculated volume: 15.8 Å³ per atom
- SG: P4/mmm (123)

Geometry as Quantum ESPRESSO input:
```
&SYSTEM
  ibrav = 0, nat = 5, ntyp = 4
/
ATOMIC_SPECIES
Hg 200.59 Hg.upf
Ge 72.64 Ge.upf
Mo 95.94 Mo.upf
H 1.01 H.upf
CELL_PARAMETERS angstrom
4.822 0.000 0.000
0.000 4.822 0.000
0.000 0.000 3.388
ATOMIC_POSITIONS crystal
Hg 0.000 0.500 0.000
Hg 0.500 0.000 0.000
Ge 0.000 0.000 0.500
Mo 0.500 0.500 0.500
H 0.000 0.000 0.000
```

The following is a DFT calculation (PBEsol) of crystalline YScTl2 at its relaxed geometry. Values from VASP.

Computed properties:
- Formation enthalpy at 0 K: -0.305 eV per atom
- Mass density: 8.7 Mg/m³
- Final energy: -4.98 eV per atom
- Crystal system: monoclinic
- Calculated volume: 25.8 Å³ per atom
- SG: C2/m (12)

Geometry as Quantum ESPRESSO input:
```
&SYSTEM
  ibrav = 0, nat = 4, ntyp = 3
/
ATOMIC_SPECIES
Y 88.91 Y.upf
Sc 44.96 Sc.upf
Tl 204.38 Tl.upf
CELL_PARAMETERS angstrom
4.750 -1.835 0.000
4.750 1.835 0.000
-1.486 0.000 5.920
ATOMIC_POSITIONS crystal
Y 0.000 0.000 0.000
Sc 0.500 0.500 0.500
Tl 0.245 0.245 0.727
Tl 0.755 0.755 0.273
```

The following is a DFT calculation (PBEsol) of crystalline CsZr2ReSb at its relaxed geometry. Values from VASP.

Computed properties:
- Mass density: 7.3 Mg/m³
- Final energy: -6.45 eV per atom
- Crystal system: tetragonal
- Calculated volume: 28.4 Å³ per atom
- SG: P4/mmm (123)
- Uncorrected formation energy: 949 meV per atom

Geometry as Quantum ESPRESSO input:
```
&SYSTEM
  ibrav = 0, nat = 5, ntyp = 4
/
ATOMIC_SPECIES
Cs 132.91 Cs.upf
Zr 91.22 Zr.upf
Re 186.21 Re.upf
Sb 121.76 Sb.upf
CELL_PARAMETERS angstrom
5.111 0.000 0.000
0.000 5.111 0.000
0.000 0.000 5.440
ATOMIC_POSITIONS crystal
Cs 0.000 0.000 0.000
Zr 0.000 0.500 0.500
Zr 0.500 0.000 0.500
Re 0.000 0.000 0.500
Sb 0.500 0.500 0.000
```

The following is a DFT calculation (PBEsol) of crystalline MgIn2 at its relaxed geometry. Values from VASP.

Computed properties:
- Formation enthalpy at 0 K: -0.039 eV per atom
- Mass density: 5.8 Mg/m³
- Final energy: -2.60 eV per atom
- Crystal system: cubic
- Calculated volume: 24.2 Å³ per atom
- SG: Fd-3m (227)

Geometry as Quantum ESPRESSO input:
```
&SYSTEM
  ibrav = 0, nat = 24, ntyp = 2
/
ATOMIC_SPECIES
Mg 24.30 Mg.upf
In 114.82 In.upf
CELL_PARAMETERS angstrom
0.000 6.620 6.620
6.620 0.000 6.620
6.620 6.620 0.000
ATOMIC_POSITIONS crystal
Mg 0.141 0.786 0.786
Mg 0.214 0.214 0.214
Mg 0.214 0.214 0.859
Mg 0.214 0.859 0.214
Mg 0.786 0.141 0.786
Mg 0.786 0.786 0.141
Mg 0.786 0.786 0.786
Mg 0.859 0.214 0.214
In 0.000 0.000 0.000
In 0.000 0.000 0.500
In 0.000 0.500 0.000
In 0.190 0.190 0.560
In 0.190 0.560 0.190
In 0.190 0.560 0.560
In 0.440 0.440 0.810
In 0.440 0.810 0.440
In 0.440 0.810 0.810
In 0.500 0.000 0.000
In 0.560 0.190 0.190
In 0.560 0.190 0.560
In 0.560 0.560 0.190
In 0.810 0.440 0.440
In 0.810 0.440 0.810
In 0.810 0.810 0.440
```

The following is a DFT calculation (PBEsol) of crystalline K3MnB at its relaxed geometry. Values from VASP.

Computed properties:
- Formation enthalpy at 0 K: 1.825 eV per atom
- Mass density: 1.2 Mg/m³
- Final energy: -2.21 eV per atom
- Crystal system: cubic
- Calculated volume: 50.8 Å³ per atom
- SG: Pm-3m (221)

Geometry as Quantum ESPRESSO input:
```
&SYSTEM
  ibrav = 0, nat = 5, ntyp = 3
/
ATOMIC_SPECIES
K 39.10 K.upf
Mn 54.94 Mn.upf
B 10.81 B.upf
CELL_PARAMETERS angstrom
6.331 0.000 0.000
0.000 6.331 0.000
0.000 0.000 6.331
ATOMIC_POSITIONS crystal
K 0.000 0.000 0.500
K 0.000 0.500 0.000
K 0.500 0.000 0.000
Mn 0.000 0.000 0.000
B 0.500 0.500 0.500
```

The following is a DFT calculation (PBEsol) of crystalline Sr3TlZn at its relaxed geometry. Values from VASP.

Computed properties:
- Formation enthalpy at 0 K: 0.061 eV per atom
- Mass density: 4.2 Mg/m³
- Final energy: -1.89 eV per atom
- Crystal system: cubic
- Calculated volume: 42.0 Å³ per atom
- SG: Pm-3m (221)

Geometry as Quantum ESPRESSO input:
```
&SYSTEM
  ibrav = 0, nat = 5, ntyp = 3
/
ATOMIC_SPECIES
Sr 87.62 Sr.upf
Tl 204.38 Tl.upf
Zn 65.41 Zn.upf
CELL_PARAMETERS angstrom
5.942 0.000 0.000
0.000 5.942 0.000
0.000 0.000 5.942
ATOMIC_POSITIONS crystal
Sr 0.000 0.000 0.500
Sr 0.000 0.500 0.000
Sr 0.500 0.000 0.000
Tl 0.500 0.500 0.500
Zn 0.000 0.000 0.000
```

The following is a DFT calculation (PBEsol) of crystalline Sr3TiGa10O20 at its relaxed geometry. Values from VASP.

Computed properties:
- Mass density: 5.0 Mg/m³
- Final energy: -6.70 eV per atom
- Crystal system: monoclinic
- Calculated volume: 12.9 Å³ per atom
- SG: C2/m (12)
- Uncorrected formation energy: -2224 meV per atom

Geometry as Quantum ESPRESSO input:
```
&SYSTEM
  ibrav = 0, nat = 34, ntyp = 4
/
ATOMIC_SPECIES
Sr 87.62 Sr.upf
Ti 47.87 Ti.upf
Ga 69.72 Ga.upf
O 16.00 O.upf
CELL_PARAMETERS angstrom
7.734 -5.845 0.000
7.734 5.845 0.000
-1.630 0.000 4.840
ATOMIC_POSITIONS crystal
Sr 0.000 0.000 0.000
Sr 0.277 0.277 0.287
Sr 0.723 0.723 0.713
Ti 0.500 0.500 0.000
Ga 0.007 0.277 0.651
Ga 0.142 0.578 0.834
Ga 0.277 0.007 0.651
Ga 0.365 0.635 0.500
Ga 0.422 0.858 0.166
Ga 0.578 0.142 0.834
Ga 0.635 0.365 0.500
Ga 0.723 0.993 0.349
Ga 0.858 0.422 0.166
Ga 0.993 0.723 0.349
O 0.004 0.281 0.013
O 0.093 0.093 0.491
O 0.123 0.396 0.642
O 0.172 0.670 0.581
O 0.281 0.004 0.013
O 0.306 0.542 0.107
O 0.330 0.828 0.419
O 0.396 0.123 0.642
O 0.433 0.433 0.611
O 0.458 0.694 0.893
O 0.542 0.306 0.107
O 0.567 0.567 0.389
O 0.604 0.877 0.358
O 0.670 0.172 0.581
O 0.694 0.458 0.893
O 0.719 0.996 0.987
O 0.828 0.330 0.419
O 0.877 0.604 0.358
O 0.907 0.907 0.509
O 0.996 0.719 0.987
```

The following is a DFT calculation (PBEsol) of crystalline GdB2Rh2C at its relaxed geometry. Values from VASP.

Computed properties:
- Formation enthalpy at 0 K: -0.627 eV per atom
- Mass density: 9.0 Mg/m³
- Final energy: -9.69 eV per atom
- Crystal system: tetragonal
- Calculated volume: 12.1 Å³ per atom
- SG: I4/mmm (139)

Geometry as Quantum ESPRESSO input:
```
&SYSTEM
  ibrav = 0, nat = 6, ntyp = 4
/
ATOMIC_SPECIES
Gd 157.25 Gd.upf
B 10.81 B.upf
Rh 102.91 Rh.upf
C 12.01 C.upf
CELL_PARAMETERS angstrom
-1.880 1.880 5.153
1.880 -1.880 5.153
1.880 1.880 -5.153
ATOMIC_POSITIONS crystal
Gd 0.000 0.000 0.000
B 0.355 0.355 0.000
B 0.645 0.645 0.000
Rh 0.250 0.750 0.500
Rh 0.750 0.250 0.500
C 0.500 0.500 0.000
```

The following is a DFT calculation (PBEsol) of crystalline Cu2P at its relaxed geometry. Values from VASP.

Computed properties:
- Formation enthalpy at 0 K: -0.016 eV per atom
- Mass density: 6.7 Mg/m³
- Final energy: -4.84 eV per atom
- Crystal system: orthorhombic
- Calculated volume: 13.0 Å³ per atom
- SG: Pnma (62)

Geometry as Quantum ESPRESSO input:
```
&SYSTEM
  ibrav = 0, nat = 12, ntyp = 2
/
ATOMIC_SPECIES
Cu 63.55 Cu.upf
P 30.97 P.upf
CELL_PARAMETERS angstrom
6.336 0.000 0.000
0.000 3.609 0.000
0.000 0.000 6.824
ATOMIC_POSITIONS crystal
Cu 0.104 0.250 0.097
Cu 0.136 0.250 0.733
Cu 0.364 0.750 0.233
Cu 0.396 0.750 0.597
Cu 0.604 0.250 0.403
Cu 0.636 0.250 0.767
Cu 0.864 0.750 0.267
Cu 0.896 0.750 0.903
P 0.226 0.250 0.413
P 0.274 0.750 0.913
P 0.726 0.250 0.087
P 0.774 0.750 0.587
```

The following is a DFT calculation (PBEsol) of crystalline TiNbSbO2 at its relaxed geometry. Values from VASP.

Computed properties:
- Mass density: 5.7 Mg/m³
- Final energy: -6.45 eV per atom
- Crystal system: tetragonal
- Calculated volume: 17.3 Å³ per atom
- SG: P4/mmm (123)
- Uncorrected formation energy: 395 meV per atom

Geometry as Quantum ESPRESSO input:
```
&SYSTEM
  ibrav = 0, nat = 5, ntyp = 4
/
ATOMIC_SPECIES
Ti 47.87 Ti.upf
Nb 92.91 Nb.upf
Sb 121.76 Sb.upf
O 16.00 O.upf
CELL_PARAMETERS angstrom
3.963 0.000 0.000
0.000 3.963 0.000
0.000 0.000 5.506
ATOMIC_POSITIONS crystal
Ti 0.000 0.000 0.000
Nb 0.500 0.500 0.000
Sb 0.000 0.000 0.500
O 0.000 0.500 0.500
O 0.500 0.000 0.500
```

The following is a DFT calculation (PBEsol) of crystalline LiCuS at its relaxed geometry. Values from VASP.

Computed properties:
- Mass density: 4.0 Mg/m³
- Final energy: -4.28 eV per atom
- Crystal system: hexagonal
- Calculated volume: 14.2 Å³ per atom
- SG: P6_3/mmc (194)
- Uncorrected formation energy: -718 meV per atom

Geometry as Quantum ESPRESSO input:
```
&SYSTEM
  ibrav = 0, nat = 6, ntyp = 3
/
ATOMIC_SPECIES
Li 6.94 Li.upf
Cu 63.55 Cu.upf
S 32.06 S.upf
CELL_PARAMETERS angstrom
3.827 0.000 0.000
-1.914 3.314 0.000
0.000 0.000 6.740
ATOMIC_POSITIONS crystal
Li 0.000 0.000 0.000
Li 0.000 0.000 0.500
Cu 0.333 0.667 0.250
Cu 0.667 0.333 0.750
S 0.333 0.667 0.750
S 0.667 0.333 0.250
```

The following is a DFT calculation (PBEsol) of crystalline TlRe3Ag at its relaxed geometry. Values from VASP.

Computed properties:
- Formation enthalpy at 0 K: 3.568 eV per atom
- Mass density: 12.7 Mg/m³
- Final energy: -5.62 eV per atom
- Crystal system: cubic
- Calculated volume: 22.8 Å³ per atom
- SG: Pm-3m (221)

Geometry as Quantum ESPRESSO input:
```
&SYSTEM
  ibrav = 0, nat = 5, ntyp = 3
/
ATOMIC_SPECIES
Tl 204.38 Tl.upf
Re 186.21 Re.upf
Ag 107.87 Ag.upf
CELL_PARAMETERS angstrom
4.848 0.000 0.000
0.000 4.848 0.000
0.000 0.000 4.848
ATOMIC_POSITIONS crystal
Tl 0.000 0.000 0.000
Re 0.000 0.000 0.500
Re 0.000 0.500 0.000
Re 0.500 0.000 0.000
Ag 0.500 0.500 0.500
```

Q: The highest calculated volume belongs to which entry?
A: K3MnB